Computed, not measured: an optimized crystal structure of RbReRu2 at the PBE level of DFT.

Cell lengths 7.3925, 7.3925, 6.2007 Å; angles 53.41, 53.41, 90.00 degrees
Element x y z (fractional)
Re  0.0000  0.0000  0.0000
Re  0.7500  0.2500  0.5000
Rb  0.5000  0.5000  0.0000
Rb  0.2500  0.7500  0.5000
Ru  0.7040  0.1250  0.2500
Ru  0.0460  0.6250  0.2500
Ru  0.3750  0.2960  0.7500
Ru  0.8750  0.9540  0.7500

Values from the calculation:
energy of formation from the pure elements	1.407	eV per atom
symmetry	I-42d, No. 122
magnetization	0.000	μB/f.u.

***

Computed, not measured: an optimized crystal structure of Pm4NdN5 at the PBE level of DFT.

Cell lengths 5.1441, 6.2691, 6.2691 Å; angles 80.31, 65.78, 65.78 degrees
Element x y z (fractional)
Pm  0.4092  0.4002  0.7995
Pm  0.8093  0.7995  0.5998
Pm  0.2087  0.2005  0.4002
Pm  0.6088  0.5998  0.2005
Nd  0.0085  0.0000  0.0000
N  0.8922  0.4021  0.7989
N  0.2942  0.7989  0.5979
N  0.6911  0.2011  0.4021
N  0.0932  0.5979  0.2011
N  0.4952  0.0000  0.0000

Values from the calculation:
E_form (uncorrected)	-1422	meV/atom
symmetry	I4, No. 79
magnetization	0.000	μB/f.u.

***

Computed, not measured: an optimized crystal structure of La2Tb6Er5 at the PBE level of DFT.

Cell lengths 3.5983, 11.7420, 20.2255 Å; angles 90.00, 90.00, 90.00 degrees
Element x y z (fractional)
La  0.0000  0.3339  0.2806
La  0.0000  0.6661  0.7194
La  0.0000  0.8339  0.2194
La  0.0000  0.1661  0.7806
Tb  0.0000  0.0782  0.3633
Tb  0.0000  0.9218  0.6367
Tb  0.0000  0.5782  0.1367
Tb  0.0000  0.4218  0.8633
Tb  0.5000  0.3207  0.1222
Tb  0.5000  0.6793  0.8778
Tb  0.5000  0.8207  0.3778
Tb  0.5000  0.1793  0.6222
Tb  0.0000  0.5591  0.4240
Tb  0.0000  0.4409  0.5760
Tb  0.0000  0.0591  0.0760
Tb  0.0000  0.9409  0.9240
Er  0.5000  0.2999  0.4472
Er  0.5000  0.7001  0.5528
Er  0.5000  0.7999  0.0528
Er  0.5000  0.2001  0.9472
Er  0.5000  0.5960  0.2806
Er  0.5000  0.4040  0.7194
Er  0.5000  0.0960  0.2194
Er  0.5000  0.9040  0.7806
Er  0.5000  0.5000  0.0000
Er  0.5000  0.0000  0.5000

Values from the calculation:
energy of formation from the pure elements	0.102	eV per atom
symmetry	Pbam, No. 55
magnetization	0.000	μB/f.u.

***

Computed, not measured: an optimized crystal structure of Ca2MnPt at the PBE level of DFT.

Cell lengths 10.2525, 10.2525, 7.6693 Å; angles 48.06, 48.06, 90.00 degrees
Element x y z (fractional)
Ca  0.7782  0.1250  0.2500
Ca  0.9718  0.6250  0.2500
Ca  0.3750  0.2218  0.7500
Ca  0.8750  0.0282  0.7500
Mn  0.5000  0.5000  0.0000
Mn  0.2500  0.7500  0.5000
Pt  0.0000  0.0000  0.0000
Pt  0.7500  0.2500  0.5000

Values from the calculation:
energy of formation from the pure elements	-0.070	eV per atom
symmetry	I-42d, No. 122
magnetization	4.510	μB/f.u.

***

Computed, not measured: an optimized crystal structure of Y5AgRh at the PBE level of DFT.

Cell lengths 6.8067, 6.8067, 10.9706 Å; angles 70.09, 70.09, 61.60 degrees
Element x y z (fractional)
Y  0.9531  0.6065  0.1405
Y  0.2225  0.5450  0.5178
Y  0.6065  0.9531  0.6405
Y  0.9570  0.0430  0.2500
Y  0.4550  0.7775  0.9822
Y  0.5450  0.2225  0.0178
Y  0.0430  0.9570  0.7500
Y  0.3935  0.0469  0.3595
Y  0.7775  0.4550  0.4822
Y  0.0469  0.3935  0.8595
Ag  0.5164  0.4836  0.2500
Ag  0.4836  0.5164  0.7500
Rh  0.0000  0.0000  0.0000
Rh  0.0000  0.0000  0.5000

Values from the calculation:
energy of formation from the pure elements	-0.185	eV per atom
symmetry	C2/c, No. 15
magnetization	0.000	μB/f.u.

***

Computed, not measured: an optimized crystal structure of LiCo2P at the PBE level of DFT.

Cell lengths 2.7672, 2.7672, 5.4989 Å; angles 90.00, 90.00, 90.01 degrees
Element x y z (fractional)
Co  0.0000  0.0000  0.9739
Co  0.0000  0.0000  0.5261
Li  0.5000  0.5000  0.2500
P  0.5000  0.5000  0.7500

Values from the calculation:
energy of formation from the pure elements	-0.189	eV per atom
symmetry	P4/mmm, No. 123
magnetization	0.255	μB/f.u.

***

Computed, not measured: an optimized crystal structure of Ti2OsPdN at the PBE level of DFT.

Cell lengths 4.6496, 4.8191, 4.6496 Å; angles 90.00, 90.00, 90.00 degrees
Element x y z (fractional)
N  0.5000  0.5000  0.5000
Os  0.0000  0.0000  0.0000
Pd  0.0000  0.5000  0.0000
Ti  0.0000  0.0000  0.5000
Ti  0.5000  0.0000  0.0000

Values from the calculation:
E_form (uncorrected)	1646	meV/atom
symmetry	P4/mmm, No. 123
magnetization	0.002	μB/f.u.

***

Computed, not measured: an optimized crystal structure of TmTh2CrN5 at the PBE level of DFT.

Cell lengths 5.7187, 6.7147, 6.7147 Å; angles 90.00, 90.00, 90.00 degrees
Element x y z (fractional)
Tm  0.0000  0.5000  0.5000
Tm  0.0000  0.0000  0.0000
Th  0.5000  0.6695  0.1695
Th  0.5000  0.1695  0.3305
Th  0.5000  0.8305  0.6695
Th  0.5000  0.3305  0.8305
Cr  0.0000  0.0000  0.5000
Cr  0.0000  0.5000  0.0000
N  0.5000  0.5000  0.5000
N  0.5000  0.0000  0.0000
N  0.2252  0.1412  0.6412
N  0.2252  0.8588  0.3588
N  0.2252  0.3588  0.1412
N  0.2252  0.6412  0.8588
N  0.7748  0.1412  0.6412
N  0.7748  0.6412  0.8588
N  0.7748  0.8588  0.3588
N  0.7748  0.3588  0.1412

Values from the calculation:
E_form (uncorrected)	-1011	meV/atom
symmetry	P4/mbm, No. 127
magnetization	0.000	μB/f.u.

***

Computed, not measured: an optimized crystal structure of LiHgSe3 at the PBE level of DFT.

Cell lengths 5.3130, 5.3130, 5.3130 Å; angles 90.00, 90.00, 90.00 degrees
Element x y z (fractional)
Hg  0.0000  0.0000  0.0000
Se  0.0000  0.5000  0.0000
Se  0.0000  0.0000  0.5000
Se  0.5000  0.0000  0.0000
Li  0.5000  0.5000  0.5000

Values from the calculation:
E_form (uncorrected)	287	meV/atom
symmetry	Pm-3m, No. 221
magnetization	0.000	μB/f.u.

***

Computed, not measured: an optimized crystal structure of GaCuSnGe2 at the PBE level of DFT.

Cell lengths 4.6455, 5.3489, 4.6455 Å; angles 90.00, 90.00, 90.00 degrees
Element x y z (fractional)
Ge  0.0000  0.0000  0.5000
Ge  0.5000  0.0000  0.0000
Cu  0.0000  0.0000  0.0000
Sn  0.0000  0.5000  0.0000
Ga  0.5000  0.5000  0.5000

Values from the calculation:
energy of formation from the pure elements	0.406	eV per atom
symmetry	P4/mmm, No. 123
magnetization	0.000	μB/f.u.

***

Computed, not measured: an optimized crystal structure of Nb2SiTeN at the PBE level of DFT.

Cell lengths 4.6215, 3.6279, 4.6215 Å; angles 90.00, 90.00, 90.00 degrees
Element x y z (fractional)
Nb  0.0000  0.0000  0.5000
Nb  0.5000  0.0000  0.0000
Te  0.5000  0.5000  0.5000
Si  0.0000  0.5000  0.0000
N  0.0000  0.0000  0.0000

Values from the calculation:
E_form (uncorrected)	-29	meV/atom
symmetry	P4/mmm, No. 123
magnetization	0.000	μB/f.u.

***

Computed, not measured: an optimized crystal structure of Tc2OsPb at the PBE level of DFT.

Cell lengths 2.8925, 3.8741, 6.1194 Å; angles 90.00, 90.00, 90.00 degrees
Element x y z (fractional)
Os  0.0000  0.0000  0.4464
Pb  0.5000  0.5000  0.7558
Tc  0.0000  0.0000  0.0302
Tc  0.5000  0.5000  0.2675

Values from the calculation:
energy of formation from the pure elements	0.627	eV per atom
symmetry	Pmm2, No. 25
magnetization	0.000	μB/f.u.

***

Computed, not measured: an optimized crystal structure of SnMoSCl2 at the PBE level of DFT.

Cell lengths 4.9114, 4.9114, 4.7967 Å; angles 90.00, 90.00, 90.00 degrees
Element x y z (fractional)
S  0.0000  0.0000  0.5000
Mo  0.0000  0.0000  0.0000
Sn  0.5000  0.5000  0.5000
Cl  0.0000  0.5000  0.0000
Cl  0.5000  0.0000  0.0000

Values from the calculation:
E_form (uncorrected)	-116	meV/atom
symmetry	P4/mmm, No. 123
magnetization	2.294	μB/f.u.

***

Computed, not measured: an optimized crystal structure of SmB at the PBE level of DFT.

Cell lengths 3.6455, 3.1954, 7.0251 Å; angles 90.00, 104.91, 90.00 degrees
Element x y z (fractional)
B  0.9798  0.7500  0.9600
B  0.0202  0.2500  0.0400
Sm  0.3774  0.2500  0.7518
Sm  0.6226  0.7500  0.2482

Values from the calculation:
energy of formation from the pure elements	-0.340	eV per atom
symmetry	P2_1/m, No. 11
magnetization	0.000	μB/f.u.

***

Computed, not measured: an optimized crystal structure of Cs2GaSn2 at the PBE level of DFT.

Cell lengths 6.5791, 11.8245, 10.1813 Å; angles 39.19, 71.15, 73.85 degrees
Element x y z (fractional)
Cs  0.6714  0.4191  0.2381
Cs  0.3286  0.5809  0.7619
Cs  0.0976  0.7653  0.0394
Cs  0.9024  0.2347  0.9606
Ga  0.3822  0.0288  0.2068
Ga  0.6178  0.9712  0.7932
Sn  0.2422  0.0975  0.4180
Sn  0.7578  0.9025  0.5820
Sn  0.5016  0.2093  0.7875
Sn  0.4984  0.7907  0.2125

Values from the calculation:
energy of formation from the pure elements	-0.050	eV per atom
symmetry	C2/m, No. 12
magnetization	0.001	μB/f.u.

***

Computed, not measured: an optimized crystal structure of MnAl2Au at the PBE level of DFT.

Cell lengths 3.0300, 3.7506, 5.4493 Å; angles 90.00, 90.00, 90.00 degrees
Element x y z (fractional)
Mn  0.5000  0.5000  0.7770
Au  0.0000  0.0000  0.4856
Al  0.0000  0.0000  0.9787
Al  0.5000  0.5000  0.2587

Values from the calculation:
energy of formation from the pure elements	-0.207	eV per atom
symmetry	Pmm2, No. 25
magnetization	2.967	μB/f.u.

***

Computed, not measured: an optimized crystal structure of ScSn2C at the PBE level of DFT.

Cell lengths 6.9263, 6.9263, 5.9520 Å; angles 54.42, 54.42, 90.00 degrees
Element x y z (fractional)
Sc  0.0000  0.0000  0.0000
Sc  0.7500  0.2500  0.5000
C  0.5000  0.5000  0.0000
C  0.2500  0.7500  0.5000
Sn  0.5469  0.1250  0.2500
Sn  0.2031  0.6250  0.2500
Sn  0.3750  0.4531  0.7500
Sn  0.8750  0.7969  0.7500

Values from the calculation:
energy of formation from the pure elements	0.464	eV per atom
symmetry	I-42d, No. 122
magnetization	0.000	μB/f.u.

***

Computed, not measured: an optimized crystal structure of HfBe2Pd2 at the PBE level of DFT.

Cell lengths 3.4297, 3.4297, 6.6068 Å; angles 74.96, 74.96, 90.00 degrees
Element x y z (fractional)
Be  0.7500  0.2500  0.5000
Be  0.2500  0.7500  0.5000
Hf  0.0000  0.0000  0.0000
Pd  0.3855  0.3855  0.2290
Pd  0.6145  0.6145  0.7710

Values from the calculation:
energy of formation from the pure elements	-0.384	eV per atom
symmetry	I4/mmm, No. 139
magnetization	0.000	μB/f.u.

***

Computed, not measured: an optimized crystal structure of Sr3LiPr2S6 at the PBE level of DFT.

Cell lengths 7.2017, 7.2017, 7.2372 Å; angles 99.54, 99.54, 119.98 degrees
Element x y z (fractional)
Sr  0.1649  0.8351  0.5000
Sr  0.8351  0.1649  0.5000
Sr  0.5000  0.5000  0.5000
Li  0.0000  0.0000  0.0000
Pr  0.3330  0.6670  0.0000
Pr  0.6670  0.3330  0.0000
S  0.9205  0.5872  0.7619
S  0.7460  0.7460  0.2363
S  0.0795  0.4128  0.2381
S  0.5872  0.9205  0.7619
S  0.2540  0.2540  0.7637
S  0.4128  0.0795  0.2381

Values from the calculation:
E_form (uncorrected)	-1973	meV/atom
symmetry	C2/m, No. 12
magnetization	0.000	μB/f.u.

***

Computed, not measured: an optimized crystal structure of GaTe3Au at the PBE level of DFT.

Cell lengths 5.3444, 5.3444, 5.3444 Å; angles 90.00, 90.00, 90.00 degrees
Element x y z (fractional)
Te  0.0000  0.5000  0.0000
Te  0.0000  0.0000  0.5000
Te  0.5000  0.0000  0.0000
Au  0.5000  0.5000  0.5000
Ga  0.0000  0.0000  0.0000

Values from the calculation:
E_form (uncorrected)	635	meV/atom
symmetry	Pm-3m, No. 221
magnetization	0.000	μB/f.u.

***

Number 1: E -0.242 Ha/atom. Number 2: E -0.293 Ha/atom. Number 3: E -0.167 Ha/atom. Number 4: E -0.179 Ha/atom. Number 5: E -0.230 Ha/atom. Number 6: E -0.205 Ha/atom. Number 7: E -0.237 Ha/atom. Number 8: E -0.325 Ha/atom. Number 9: E -0.083 Ha/atom. Number 10: E -0.135 Ha/atom. Number 11: E -0.273 Ha/atom. Number 12: E -0.305 Ha/atom. Number 13: E -0.171 Ha/atom. Number 14: E -0.222 Ha/atom. Number 15: E -0.095 Ha/atom. Number 16: E -0.191 Ha/atom. Number 17: E -0.199 Ha/atom. Number 18: E -0.218 Ha/atom. Number 19: E -0.199 Ha/atom. Number 20: E -0.092 Ha/atom.